Compound: ScBi2CS
Source: Alexandria
Functional: PBEsol
Structure: optimized geometry

Calculated values
* ΔE_f (raw): 366 meV/atom

Unit cell a=4.9954 b=4.9954 c=4.3749 alpha=90.00 beta=90.00 gamma=90.00
Sites, in units of the cell vectors:
Sc1 0.0000 0.0000 0.0000
Bi1 0.0000 0.5000 0.5000
Bi2 0.5000 0.0000 0.5000
C1 0.0000 0.0000 0.5000
S1 0.5000 0.5000 0.0000

---

Compound: Zr2NbTlH
Source: Alexandria
Functional: PBEsol
Structure: optimized geometry

Unit cell a=4.5703 b=4.5703 c=3.9743 alpha=90.00 beta=90.00 gamma=90.00
Sites, in units of the cell vectors:
Zr1 0.0000 0.5000 0.0000
Zr2 0.5000 0.0000 0.0000
Nb1 0.0000 0.0000 0.5000
Tl1 0.5000 0.5000 0.5000
H1 0.0000 0.0000 0.0000

---

Compound: Cu2BiC
Source: Alexandria
Functional: PBEsol
Structure: optimized geometry

Calculated values
* ΔH_f (0 K): 1.426 eV/atom

Unit cell a=6.1553 b=6.1553 c=6.1553 alpha=90.00 beta=90.00 gamma=90.00
Sites, in units of the cell vectors:
Cu1 0.2500 0.2500 0.2500
Cu2 0.2500 0.2500 0.7500
Cu3 0.2500 0.7500 0.2500
Cu4 0.2500 0.7500 0.7500
Cu5 0.7500 0.2500 0.2500
Cu6 0.7500 0.2500 0.7500
Cu7 0.7500 0.7500 0.2500
Cu8 0.7500 0.7500 0.7500
Bi1 0.0000 0.0000 0.0000
Bi2 0.0000 0.5000 0.5000
Bi3 0.5000 0.0000 0.5000
Bi4 0.5000 0.5000 0.0000
C1 0.0000 0.0000 0.5000
C2 0.0000 0.5000 0.0000
C3 0.5000 0.0000 0.0000
C4 0.5000 0.5000 0.5000

---

Compound: Zr2AsPb
Source: Alexandria
Functional: PBEsol
Structure: optimized geometry

Calculated values
* ΔH_f (0 K): -0.579 eV/atom
* distance to the lowest polymorph of the same formula: 0.00 eV per formula unit

Unit cell a=4.2223 b=5.0842 c=7.7896 alpha=90.00 beta=90.00 gamma=90.00
Sites, in units of the cell vectors:
Zr1 0.0000 0.0000 0.2155
Zr2 0.0000 0.0000 0.7845
Zr3 0.5000 0.5000 0.2155
Zr4 0.5000 0.5000 0.7845
As1 0.0000 0.5000 0.0000
As2 0.5000 0.0000 0.0000
Pb1 0.0000 0.5000 0.5000
Pb2 0.5000 0.0000 0.5000

---

Compound: NiIr2Se
Source: Alexandria
Functional: PBEsol
Structure: optimized geometry

Calculated values
* ΔE_f (raw): 331 meV/atom
* distance to the lowest polymorph of the same formula: 0.00 eV per formula unit

Unit cell a=2.8783 b=3.4124 c=5.5863 alpha=90.00 beta=90.00 gamma=90.00
Sites, in units of the cell vectors:
Ni1 0.0000 0.0000 0.0000
Ir1 0.5000 0.5000 0.2347
Ir2 0.5000 0.5000 0.7653
Se1 0.0000 0.0000 0.5000

---

Compound: Rb2O
Source: Alexandria
Functional: PBEsol
Structure: optimized geometry

Calculated values
* ΔE_f (raw): -930 meV/atom

Unit cell a=7.2004 b=7.2004 c=6.5693 alpha=90.00 beta=90.00 gamma=120.00
Sites, in units of the cell vectors:
Rb1 0.0003 0.3336 0.1969
Rb2 0.9997 0.6664 0.8031
Rb3 0.3333 0.9997 0.1969
Rb4 0.3336 0.3333 0.8031
Rb5 0.6664 0.6667 0.1969
Rb6 0.6667 0.0003 0.8031
O1 0.0000 0.0000 0.0000
O2 0.3333 0.6667 0.9989
O3 0.6667 0.3333 0.0011

---

Compound: SnMoRu2Se
Source: Alexandria
Functional: PBEsol
Structure: optimized geometry

Calculated values
* ΔE_f (raw): 1391 meV/atom

Unit cell a=4.5793 b=4.5793 c=5.1861 alpha=90.00 beta=90.00 gamma=90.00
Sites, in units of the cell vectors:
Sn1 0.0000 0.0000 0.0000
Mo1 0.0000 0.0000 0.5000
Ru1 0.0000 0.5000 0.5000
Ru2 0.5000 0.0000 0.5000
Se1 0.5000 0.5000 0.0000

---

Compound: Pb12BrCl7O8
Source: Alexandria
Functional: PBEsol
Structure: optimized geometry

Calculated values
* ΔE_f (raw): -1154 meV/atom

Unit cell a=9.5616 b=5.8250 c=11.7938 alpha=90.00 beta=90.21 gamma=90.00
Sites, in units of the cell vectors:
Pb1 0.0000 0.0000 0.0000
Pb2 0.0467 0.0000 0.3023
Pb3 0.1208 0.5000 0.6408
Pb4 0.2127 0.5000 0.1414
Pb5 0.2812 0.0000 0.8004
Pb6 0.3365 0.0000 0.4996
Pb7 0.4986 0.5000 0.6639
Pb8 0.5532 0.5000 0.3627
Pb9 0.6219 0.0000 0.0169
Pb10 0.7144 0.0000 0.5223
Pb11 0.7845 0.5000 0.8610
Pb12 0.8350 0.5000 0.1626
Br1 0.3492 0.0000 0.2128
Cl1 0.0024 0.0000 0.7156
Cl2 0.1089 0.5000 0.8895
Cl3 0.2264 0.5000 0.3904
Cl4 0.5040 0.5000 0.9463
Cl5 0.6094 0.0000 0.7710
Cl6 0.7321 0.0000 0.2740
Cl7 0.8337 0.5000 0.4478
O1 0.0294 0.2545 0.1621
O2 0.0294 0.7455 0.1621
O3 0.3040 0.2553 0.6610
O4 0.3040 0.7447 0.6610
O5 0.5311 0.2449 0.5025
O6 0.5311 0.7551 0.5025
O7 0.8061 0.2453 0.0006
O8 0.8061 0.7547 0.0006

---

Compound: Sb2PbW
Source: Alexandria
Functional: PBEsol
Structure: optimized geometry

Calculated values
* ΔE_f (raw): 929 meV/atom

Unit cell a=7.0771 b=7.0771 c=7.0771 alpha=90.00 beta=90.00 gamma=90.00
Sites, in units of the cell vectors:
Sb1 0.0000 0.0000 0.0000
Sb2 0.0000 0.5000 0.5000
Sb3 0.2500 0.2500 0.2500
Sb4 0.2500 0.7500 0.7500
Sb5 0.5000 0.0000 0.5000
Sb6 0.5000 0.5000 0.0000
Sb7 0.7500 0.2500 0.7500
Sb8 0.7500 0.7500 0.2500
Pb1 0.2500 0.2500 0.7500
Pb2 0.2500 0.7500 0.2500
Pb3 0.7500 0.2500 0.2500
Pb4 0.7500 0.7500 0.7500
W1 0.0000 0.0000 0.5000
W2 0.0000 0.5000 0.0000
W3 0.5000 0.0000 0.0000
W4 0.5000 0.5000 0.5000

---

Compound: CaZr3I
Source: Alexandria
Functional: PBEsol
Structure: optimized geometry

Calculated values
* ΔE_f (raw): 598 meV/atom

Unit cell a=5.2751 b=5.2751 c=5.2751 alpha=90.00 beta=90.00 gamma=90.00
Sites, in units of the cell vectors:
Ca1 0.0000 0.0000 0.0000
Zr1 0.0000 0.5000 0.5000
Zr2 0.5000 0.0000 0.5000
Zr3 0.5000 0.5000 0.0000
I1 0.5000 0.5000 0.5000

---

Compound: ScCrRu2
Source: Alexandria
Functional: PBEsol
Structure: optimized geometry

Calculated values
* ΔH_f (0 K): 0.090 eV/atom

Unit cell a=2.7639 b=4.3014 c=4.8737 alpha=90.00 beta=101.81 gamma=90.00
Sites, in units of the cell vectors:
Sc1 0.0000 0.0000 0.0000
Cr1 0.6802 0.5000 0.2668
Ru1 0.2544 0.5000 0.7594
Ru2 0.5679 0.0000 0.4845

---

Compound: Zn2RuBr
Source: Alexandria
Functional: PBEsol
Structure: optimized geometry

Calculated values
* ΔE_f (raw): 191 meV/atom
* distance to the lowest polymorph of the same formula: 0.08 eV per formula unit

Unit cell a=8.5524 b=3.0095 c=6.2164 alpha=90.00 beta=103.91 gamma=90.00
Sites, in units of the cell vectors:
Zn1 0.0000 0.0000 0.0000
Zn2 0.2416 0.0000 0.7986
Zn3 0.5000 0.5000 0.0000
Zn4 0.7416 0.5000 0.7986
Ru1 0.2440 0.5000 0.1212
Ru2 0.7440 0.0000 0.1212
Br1 0.3435 0.0000 0.4507
Br2 0.8435 0.5000 0.4507

---

Compound: CdHg4Te
Source: Alexandria
Functional: PBEsol
Structure: optimized geometry

Calculated values
* ΔE_f (raw): 201 meV/atom

Unit cell a=5.9673 b=5.9673 c=5.9673 alpha=60.00 beta=60.00 gamma=60.00
Sites, in units of the cell vectors:
Cd1 0.0000 0.0000 0.0000
Hg1 0.3747 0.3747 0.3747
Hg2 0.3747 0.3747 0.8758
Hg3 0.3747 0.8758 0.3747
Hg4 0.8758 0.3747 0.3747
Te1 0.7500 0.7500 0.7500

---

Compound: CaZr2Pt
Source: Alexandria
Functional: PBEsol
Structure: optimized geometry

Calculated values
* ΔH_f (0 K): -0.109 eV/atom
* distance to the lowest polymorph of the same formula: 0.00 eV per formula unit

Unit cell a=6.8139 b=6.8139 c=6.8139 alpha=90.00 beta=90.00 gamma=90.00
Sites, in units of the cell vectors:
Ca1 0.0000 0.0000 0.0000
Ca2 0.0000 0.5000 0.5000
Ca3 0.5000 0.0000 0.5000
Ca4 0.5000 0.5000 0.0000
Zr1 0.2500 0.2500 0.2500
Zr2 0.2500 0.2500 0.7500
Zr3 0.2500 0.7500 0.2500
Zr4 0.2500 0.7500 0.7500
Zr5 0.7500 0.2500 0.2500
Zr6 0.7500 0.2500 0.7500
Zr7 0.7500 0.7500 0.2500
Zr8 0.7500 0.7500 0.7500
Pt1 0.0000 0.0000 0.5000
Pt2 0.0000 0.5000 0.0000
Pt3 0.5000 0.0000 0.0000
Pt4 0.5000 0.5000 0.5000

---

Compound: Mn2MoRh
Source: Alexandria
Functional: PBEsol
Structure: optimized geometry

Calculated values
* ΔH_f (0 K): 0.050 eV/atom

Unit cell a=3.9933 b=2.6031 c=9.5542 alpha=90.00 beta=90.00 gamma=90.00
Sites, in units of the cell vectors:
Mn1 0.0000 0.0000 0.0000
Mn2 0.0000 0.5000 0.5000
Mn3 0.5000 0.0000 0.1093
Mn4 0.5000 0.5000 0.6093
Mo1 0.5000 0.0000 0.3766
Mo2 0.5000 0.5000 0.8766
Rh1 0.0000 0.0000 0.7258
Rh2 0.0000 0.5000 0.2258

---

Compound: Li4Mn3CuO8
Source: Alexandria
Functional: PBEsol
Structure: optimized geometry

Calculated values
* ΔE_f (raw): -1701 meV/atom

Unit cell a=5.7627 b=5.7627 c=5.7627 alpha=59.29 beta=59.29 gamma=59.29
Sites, in units of the cell vectors:
Li1 0.0000 0.0000 0.0000
Li2 0.0000 0.5000 0.5000
Li3 0.5000 0.0000 0.5000
Li4 0.5000 0.5000 0.0000
Mn1 0.0000 0.0000 0.5000
Mn2 0.0000 0.5000 0.0000
Mn3 0.5000 0.0000 0.0000
Cu1 0.5000 0.5000 0.5000
O1 0.2222 0.7532 0.7532
O2 0.2411 0.2411 0.2411
O3 0.2468 0.2468 0.7778
O4 0.2468 0.7778 0.2468
O5 0.7533 0.2222 0.7533
O6 0.7533 0.7532 0.2222
O7 0.7589 0.7589 0.7589
O8 0.7778 0.2467 0.2467

---

Compound: CaNiRh
Source: Alexandria
Functional: PBEsol
Structure: optimized geometry

Calculated values
* ΔH_f (0 K): -0.314 eV/atom

Unit cell a=5.0250 b=5.2676 c=7.2192 alpha=90.00 beta=90.00 gamma=90.00
Sites, in units of the cell vectors:
Ca1 0.0000 0.2500 0.1243
Ca2 0.0000 0.7500 0.8757
Ca3 0.5000 0.2500 0.3757
Ca4 0.5000 0.7500 0.6243
Ni1 0.2500 0.2500 0.7500
Ni2 0.2500 0.7500 0.2500
Ni3 0.7500 0.2500 0.7500
Ni4 0.7500 0.7500 0.2500
Rh1 0.0000 0.0000 0.5000
Rh2 0.0000 0.5000 0.5000
Rh3 0.5000 0.0000 0.0000
Rh4 0.5000 0.5000 0.0000

---

Compound: U4CuTe12
Source: Alexandria
Functional: PBEsol
Structure: optimized geometry

Calculated values
* ΔE_f (raw): -416 meV/atom

Unit cell a=7.2643 b=7.2643 c=10.9121 alpha=109.20 beta=109.20 gamma=68.13
Sites, in units of the cell vectors:
U1 0.0000 0.0000 0.0000
U2 0.1163 0.6212 0.3205
U3 0.5024 0.5024 0.9971
U4 0.6212 0.1163 0.3205
Cu1 0.4937 0.4937 0.6948
Te1 0.0549 0.0549 0.4993
Te2 0.0667 0.5670 0.8240
Te3 0.2868 0.2868 0.0949
Te4 0.2977 0.2977 0.4854
Te5 0.3122 0.8297 0.8296
Te6 0.3350 0.8325 0.2254
Te7 0.5577 0.5577 0.4927
Te8 0.5670 0.0667 0.8240
Te9 0.7858 0.7858 0.0922
Te10 0.8088 0.8088 0.4958
Te11 0.8297 0.3122 0.8296
Te12 0.8325 0.3350 0.2254

---

Compound: TaCoPt2
Source: Alexandria
Functional: PBEsol
Structure: optimized geometry

Calculated values
* ΔH_f (0 K): -0.574 eV/atom
* distance to the lowest polymorph of the same formula: 0.00 eV per formula unit

Unit cell a=3.8112 b=3.8112 c=7.8400 alpha=90.00 beta=90.00 gamma=90.00
Sites, in units of the cell vectors:
Ta1 0.0000 0.0000 0.0000
Ta2 0.5000 0.5000 0.5000
Co1 0.0000 0.0000 0.5000
Co2 0.5000 0.5000 0.0000
Pt1 0.0000 0.5000 0.2500
Pt2 0.0000 0.5000 0.7500
Pt3 0.5000 0.0000 0.2500
Pt4 0.5000 0.0000 0.7500

---

Compound: Cd3Ag2
Source: Alexandria
Functional: PBEsol
Structure: optimized geometry

Calculated values
* ΔH_f (0 K): -0.032 eV/atom
* distance to the lowest polymorph of the same formula: 0.12 eV per formula unit

Unit cell a=2.9872 b=2.9872 c=36.0415 alpha=90.00 beta=90.00 gamma=120.00
Sites, in units of the cell vectors:
Cd1 0.0000 0.0000 0.0000
Cd2 0.0000 0.0000 0.2028
Cd3 0.0000 0.0000 0.7972
Cd4 0.3333 0.6667 0.4638
Cd5 0.3333 0.6667 0.6667
Cd6 0.3333 0.6667 0.8695
Cd7 0.6667 0.3333 0.1305
Cd8 0.6667 0.3333 0.3333
Cd9 0.6667 0.3333 0.5362
Ag1 0.0000 0.0000 0.3983
Ag2 0.0000 0.0000 0.6017
Ag3 0.3333 0.6667 0.0650
Ag4 0.3333 0.6667 0.2683
Ag5 0.6667 0.3333 0.7317
Ag6 0.6667 0.3333 0.9350

---

Compound: Ba3In
Source: Alexandria
Functional: PBEsol
Structure: optimized geometry

Calculated values
* ΔH_f (0 K): -0.211 eV/atom

Unit cell a=8.0337 b=8.0337 c=6.0257 alpha=90.00 beta=90.00 gamma=120.00
Sites, in units of the cell vectors:
Ba1 0.1789 0.3578 0.2500
Ba2 0.1789 0.8211 0.2500
Ba3 0.3578 0.1789 0.7500
Ba4 0.6422 0.8211 0.2500
Ba5 0.8211 0.1789 0.7500
Ba6 0.8211 0.6422 0.7500
In1 0.3333 0.6667 0.7500
In2 0.6667 0.3333 0.2500

---

Compound: LiPSe2
Source: Alexandria
Functional: PBEsol
Structure: optimized geometry

Calculated values
* ΔE_f (raw): -258 meV/atom

Unit cell a=2.9299 b=3.5487 c=7.0353 alpha=90.00 beta=90.00 gamma=90.00
Sites, in units of the cell vectors:
Li1 0.0000 0.0000 0.0000
P1 0.5000 0.0000 0.5000
Se1 0.5000 0.5000 0.2420
Se2 0.5000 0.5000 0.7580

---

Compound: SbRh3Au
Source: Alexandria
Functional: PBEsol
Structure: optimized geometry

Calculated values
* ΔE_f (raw): 1187 meV/atom

Unit cell a=4.7216 b=4.7216 c=4.7216 alpha=90.00 beta=90.00 gamma=90.00
Sites, in units of the cell vectors:
Sb1 0.0000 0.0000 0.0000
Rh1 0.0000 0.0000 0.5000
Rh2 0.0000 0.5000 0.0000
Rh3 0.5000 0.0000 0.0000
Au1 0.5000 0.5000 0.5000

---

Compound: TiTcIr3
Source: Alexandria
Functional: PBEsol
Structure: optimized geometry

Calculated values
* ΔH_f (0 K): 1.537 eV/atom

Unit cell a=4.6087 b=4.6087 c=4.6087 alpha=90.00 beta=90.00 gamma=90.00
Sites, in units of the cell vectors:
Ti1 0.0000 0.0000 0.0000
Tc1 0.5000 0.5000 0.5000
Ir1 0.0000 0.5000 0.5000
Ir2 0.5000 0.0000 0.5000
Ir3 0.5000 0.5000 0.0000

---

| no. | total magnetization (μB per atom) | E_tot (eV per atom) | Fermi-level density of states (states/eV/f.u.) |
| --- | --- | --- | --- |
| 1 | 0.000 | -5.475 | 2.03 |
| 2 | 0.000 | -7.225 | 3.86 |
| 3 | 0.000 | -4.224 | 0.81 |
| 4 | 0.000 | -7.400 | 3.15 |
| 5 | 0.000 | -7.083 | 5.10 |
| 6 | 0.025 | -3.364 | 2.01 |
| 7 | 0.200 | -6.654 | 4.91 |
| 8 | 0.000 | -4.936 | 0.00 |
| 9 | 0.000 | -5.801 | 3.64 |
| 10 | 0.000 | -5.636 | 5.80 |
| 11 | 0.000 | -9.208 | 4.09 |
| 12 | 0.000 | -3.611 | 2.24 |
| 13 | 0.000 | -0.964 | 3.91 |
| 14 | 0.000 | -6.928 | 5.68 |
| 15 | 0.016 | -9.807 | 3.75 |
| 16 | 0.501 | -6.918 | 5.55 |
| 17 | 0.000 | -5.790 | 2.48 |
| 18 | 0.404 | -6.020 | 28.47 |
| 19 | 0.263 | -9.128 | 3.88 |
| 20 | 0.000 | -2.075 | 1.61 |
| 21 | 0.005 | -2.568 | 5.34 |
| 22 | 0.000 | -4.123 | 0.90 |
| 23 | 0.141 | -5.392 | 10.10 |
| 24 | 0.209 | -8.275 | 7.56 |